1.
! AgPt2Au5 PBE optimized geometry; values from VASP
! DOS(E_F) ... 5.09 states/eV per cell
! Magnetic moment ... 0.00 μB per formula unit
! SG ... No. 55
! Formation enthalpy at 0 K ... 0.0117 eV/atom
! Calculated density ... 17791 kg/m3
! Offset from the most stable computed form ... 0 meV per atom
&SYSTEM
  ibrav = 0, nat = 16, ntyp = 3
/
ATOMIC_SPECIES
Ag 107.87 Ag.upf
Pt 195.08 Pt.upf
Au 196.97 Au.upf
CELL_PARAMETERS angstrom
5.757 0.000 0.000
0.000 11.473 0.000
0.000 0.000 4.191
ATOMIC_POSITIONS crystal
Ag 0.000 0.000 0.000
Ag 0.500 0.500 0.000
Pt 0.242 0.374 0.500
Pt 0.258 0.874 0.500
Pt 0.742 0.126 0.500
Pt 0.758 0.626 0.500
Au 0.000 0.500 0.000
Au 0.009 0.751 0.000
Au 0.242 0.123 0.500
Au 0.258 0.623 0.500
Au 0.491 0.251 0.000
Au 0.500 0.000 0.000
Au 0.509 0.749 0.000
Au 0.742 0.377 0.500
Au 0.758 0.877 0.500
Au 0.991 0.249 0.000

---

2.
! Ga3IrPb PBE optimized geometry; values from VASP
! DOS(E_F) ... 3.41 states/eV per cell
! Magnetic moment ... 0.00 μB per formula unit
! SG ... No. 221
! Formation enthalpy at 0 K ... -0.0626 eV/atom
! Calculated density ... 8760 kg/m3
! Offset from the most stable computed form ... 0 meV per atom
&SYSTEM
  ibrav = 0, nat = 5, ntyp = 3
/
ATOMIC_SPECIES
Ga 69.72 Ga.upf
Ir 192.22 Ir.upf
Pb 207.20 Pb.upf
CELL_PARAMETERS angstrom
4.868 0.000 0.000
0.000 4.868 0.000
0.000 0.000 4.868
ATOMIC_POSITIONS crystal
Ga 0.000 0.000 0.500
Ga 0.000 0.500 0.000
Ga 0.500 0.000 0.000
Ir 0.000 0.000 0.000
Pb 0.500 0.500 0.500

---

3.
! Cr2In2Pt PBE optimized geometry; values from VASP
! DOS(E_F) ... 8.85 states/eV per cell
! Magnetic moment ... 0.00 μB per formula unit
! SG ... No. 139
! Formation enthalpy at 0 K ... 0.2950 eV/atom
! Calculated density ... 10163 kg/m3
! Offset from the most stable computed form ... 0 meV per atom
&SYSTEM
  ibrav = 0, nat = 10, ntyp = 3
/
ATOMIC_SPECIES
Cr 52.00 Cr.upf
In 114.82 In.upf
Pt 195.08 Pt.upf
CELL_PARAMETERS angstrom
3.230 0.000 0.000
0.000 3.230 0.000
0.000 0.000 16.560
ATOMIC_POSITIONS crystal
Cr 0.000 0.500 0.250
Cr 0.000 0.500 0.750
Cr 0.500 0.000 0.250
Cr 0.500 0.000 0.750
In 0.000 0.000 0.106
In 0.000 0.000 0.894
In 0.500 0.500 0.394
In 0.500 0.500 0.606
Pt 0.000 0.000 0.500
Pt 0.500 0.500 0.000

---

4.
! Tl3Tc2HgO8 PBE optimized geometry; values from VASP
! DOS(E_F) ... 6.10 states/eV per cell
! Magnetic moment ... 0.72 μB per formula unit
! SG ... No. 164
! Uncorrected formation energy ... -1.12 eV per atom
! Calculated density ... 5622 kg/m3
&SYSTEM
  ibrav = 0, nat = 14, ntyp = 4
/
ATOMIC_SPECIES
Tl 204.38 Tl.upf
Tc 98.00 Tc.upf
Hg 200.59 Hg.upf
O 16.00 O.upf
CELL_PARAMETERS angstrom
6.284 0.000 0.000
-3.142 5.442 0.000
0.000 0.000 9.826
ATOMIC_POSITIONS crystal
Tl 0.000 0.000 0.000
Tl 0.333 0.667 0.717
Tl 0.667 0.333 0.283
Tc 0.333 0.667 0.151
Tc 0.667 0.333 0.849
Hg 0.000 0.000 0.500
O 0.181 0.362 0.211
O 0.181 0.819 0.211
O 0.333 0.667 0.970
O 0.362 0.181 0.789
O 0.638 0.819 0.211
O 0.667 0.333 0.030
O 0.819 0.181 0.789
O 0.819 0.638 0.789

---

5.
! AlTe2Rh PBE optimized geometry; values from VASP
! DOS(E_F) ... 2.91 states/eV per cell
! Magnetic moment ... 0.00 μB per formula unit
! SG ... No. 139
! Uncorrected formation energy ... 0.01 eV per atom
! Calculated density ... 7054 kg/m3
&SYSTEM
  ibrav = 0, nat = 8, ntyp = 3
/
ATOMIC_SPECIES
Al 26.98 Al.upf
Te 127.60 Te.upf
Rh 102.91 Rh.upf
CELL_PARAMETERS angstrom
5.538 0.000 0.000
0.000 5.538 0.000
0.000 0.000 5.911
ATOMIC_POSITIONS crystal
Al 0.000 0.000 0.000
Al 0.500 0.500 0.500
Te 0.000 0.500 0.000
Te 0.000 0.500 0.500
Te 0.500 0.000 0.000
Te 0.500 0.000 0.500
Rh 0.000 0.000 0.500
Rh 0.500 0.500 0.000

---

6.
! Fe2HPd2 PBE optimized geometry; values from VASP
! DOS(E_F) ... 8.45 states/eV per cell
! Magnetic moment ... 6.82 μB per formula unit
! SG ... No. 127
! Calculated density ... 7453 kg/m3
! Offset from the most stable computed form ... 0 meV per atom
&SYSTEM
  ibrav = 0, nat = 10, ntyp = 3
/
ATOMIC_SPECIES
Fe 55.84 Fe.upf
H 1.01 H.upf
Pd 106.42 Pd.upf
CELL_PARAMETERS angstrom
7.141 0.000 0.000
0.000 7.141 0.000
0.000 0.000 2.845
ATOMIC_POSITIONS crystal
Fe 0.117 0.383 0.000
Fe 0.383 0.883 0.000
Fe 0.617 0.117 0.000
Fe 0.883 0.617 0.000
H 0.000 0.000 0.500
H 0.500 0.500 0.500
Pd 0.179 0.679 0.500
Pd 0.321 0.179 0.500
Pd 0.679 0.821 0.500
Pd 0.821 0.321 0.500

---

7.
! Tl2CdAu2 PBE optimized geometry; values from VASP
! DOS(E_F) ... 3.38 states/eV per cell
! Magnetic moment ... 0.00 μB per formula unit
! SG ... No. 139
! Formation enthalpy at 0 K ... 0.1201 eV/atom
! Calculated density ... 11311 kg/m3
! Offset from the most stable computed form ... 156 meV per atom
&SYSTEM
  ibrav = 0, nat = 10, ntyp = 3
/
ATOMIC_SPECIES
Tl 204.38 Tl.upf
Cd 112.41 Cd.upf
Au 196.97 Au.upf
CELL_PARAMETERS angstrom
4.520 0.000 0.000
0.000 4.520 0.000
0.000 0.000 13.153
ATOMIC_POSITIONS crystal
Tl 0.000 0.500 0.250
Tl 0.000 0.500 0.750
Tl 0.500 0.000 0.250
Tl 0.500 0.000 0.750
Cd 0.000 0.000 0.000
Cd 0.500 0.500 0.500
Au 0.000 0.000 0.399
Au 0.000 0.000 0.601
Au 0.500 0.500 0.101
Au 0.500 0.500 0.899

---

8.
! Cs3KC PBE optimized geometry; values from VASP
! DOS(E_F) ... 3.67 states/eV per cell
! Magnetic moment ... 2.16 μB per formula unit
! SG ... No. 221
! Formation enthalpy at 0 K ... 1.4325 eV/atom
! Calculated density ... 1269 kg/m3
&SYSTEM
  ibrav = 0, nat = 5, ntyp = 3
/
ATOMIC_SPECIES
Cs 132.91 Cs.upf
K 39.10 K.upf
C 12.01 C.upf
CELL_PARAMETERS angstrom
8.380 0.000 0.000
0.000 8.380 0.000
0.000 0.000 8.380
ATOMIC_POSITIONS crystal
Cs 0.000 0.000 0.500
Cs 0.000 0.500 0.000
Cs 0.500 0.000 0.000
K 0.000 0.000 0.000
C 0.500 0.500 0.500